Entry 1:
## Ba4AsAuBr2 (PBE-GGA)

Data for crystalline Ba4AsAuBr2 at its relaxed geometry.

a = 8.3077 Å, b = 4.7422 Å, c = 8.5137 Å
α = 90.00°, β = 107.58°, γ = 90.00°
Closest atoms and distances in Å follow each position.
Space group P2/m (No. 10)
Symmetry-distinct sites (fractional):
Ba  0.2352  0.0000  0.2190 x2  2 As 3.27, 1 Au 3.29, 3 Br 3.52-3.61
Ba  0.2562  0.5000  0.7745 x2  1 As 3.27, 2 Au 3.33, 3 Br 3.52-3.55
As  0.0000  0.5000  0.0000 x1  6 Ba 3.27
Au  0.5000  0.0000  0.0000 x1  6 Ba 3.29-3.33
Br  0.0000  0.0000  0.5000 x1  6 Ba 3.52-3.55
Br  0.5000  0.5000  0.5000 x1  6 Ba 3.52-3.61

Computed properties:
* uncorrected formation energy: -130 kJ per mole of atoms



Entry 2:
## BaAsAuBr2 (PBE-GGA)

Data for crystalline BaAsAuBr2 at its relaxed geometry.

a = 5.5513 Å, b = 5.5513 Å, c = 5.0991 Å
α = 90.00°, β = 90.00°, γ = 90.00°
Closest atoms and distances in Å follow each position.
Space group P4/mmm (No. 123)
Symmetry-distinct sites (fractional):
Ba  0.0000  0.0000  0.0000 x1  8 Br 3.77, 4 As 3.93
As  0.5000  0.5000  0.0000 x1  2 Au 2.55
Au  0.5000  0.5000  0.5000 x1  2 As 2.55, 4 Br 2.78
Br  0.0000  0.5000  0.5000 x2  2 Au 2.78

Computed properties:
* uncorrected formation energy: -58 kJ per mole of atoms
* polymorph energy (0 for the lowest one): 0 meV per atom



Entry 3:
## BaAsAuBr2 (PBE-GGA)

Data for crystalline BaAsAuBr2 at its relaxed geometry.

a = 6.1297 Å, b = 6.1297 Å, c = 7.5896 Å
α = 90.00°, β = 90.00°, γ = 90.00°
Closest atoms and distances in Å follow each position.
Space group P4/mmm (No. 123)
Symmetry-distinct sites (fractional):
Ba  0.0000  0.0000  0.0000 x1  4 Br 3.06
As  0.0000  0.0000  0.5000 x1  2 Ba 3.79
Au  0.5000  0.5000  0.5000 x1  4 As 4.33
Br  0.0000  0.5000  0.0000 x2  2 Ba 3.06

Computed properties:
* uncorrected formation energy: -1 kJ per mole of atoms
* polymorph energy (0 for the lowest one): 594 meV per atom



Entry 4:
## Ba8AsAu3Br4 (PBE-GGA)

Data for crystalline Ba8AsAu3Br4 at its relaxed geometry.

a = 9.4462 Å, b = 9.4462 Å, c = 25.0210 Å
α = 90.00°, β = 90.00°, γ = 120.00°
Closest atoms and distances in Å follow each position.
Space group R-3m (No. 166, hexagonal axes)
Symmetry-distinct sites (fractional):
Ba  0.0000  0.0000  0.2403 x6  3 Au 3.29, 3 Br 3.58
Ba  0.0032  0.5016  0.2405 x18  1 As 3.27, 2 Au 3.30, 3 Br 3.57-3.60
As  0.0000  0.0000  0.5000 x3  6 Ba 3.27
Au  0.0000  0.5000  0.5000 x9  6 Ba 3.29-3.30
Br  0.0000  0.0000  0.0000 x3  6 Ba 3.60
Br  0.0000  0.5000  0.0000 x9  6 Ba 3.57-3.58

Computed properties:
* uncorrected formation energy: -122 kJ per mole of atoms



Entry 5:
## Ba6As2Au3Br (PBE-GGA)

Data for crystalline Ba6As2Au3Br at its relaxed geometry.

a = 20.8941 Å, b = 4.7775 Å, c = 9.6768 Å
α = 90.00°, β = 104.06°, γ = 90.00°
Closest atoms and distances in Å follow each position.
Space group C2/m (No. 12)
Symmetry-distinct sites (fractional):
Ba  0.0065  0.0000  0.2622 x4  1 As 3.21, 3 Au 3.34-3.40, 2 Br 3.46
Ba  0.1704  0.5000  0.5670 x4  3 As 3.35-3.36, 3 Au 3.46-3.53
Ba  0.1715  0.5000  0.0963 x4  2 As 3.26, 3 Au 3.39-3.49, 1 Br 3.48
As  0.1642  0.0000  0.3215 x4  6 Ba 3.21-3.36
Au  0.0000  0.5000  0.5000 x2  6 Ba 3.34-3.46
Au  0.1615  0.0000  0.8295 x4  6 Ba 3.39-3.53
Br  0.0000  0.5000  0.0000 x2  6 Ba 3.46-3.48

Computed properties:
* uncorrected formation energy: -98 kJ per mole of atoms



Entry 6:
## BaCaAsAu (PBE-GGA)

Data for crystalline BaCaAsAu at its relaxed geometry.

a = 7.7020 Å, b = 7.7020 Å, c = 7.7020 Å
α = 90.00°, β = 90.00°, γ = 90.00°
Closest atoms and distances in Å follow each position.
Space group F-43m (No. 216)
Symmetry-distinct sites (fractional):
Ba  0.0000  0.0000  0.0000 x4  4 As 3.34, 4 Au 3.34
Ca  0.0000  0.0000  0.5000 x4  4 Au 3.34, 4 As 3.34
As  0.2500  0.2500  0.2500 x4  4 Ba 3.34, 4 Ca 3.34
Au  0.2500  0.2500  0.7500 x4  4 Ba 3.34, 4 Ca 3.34

Computed properties:
* E_form: -0.90 eV/atom



Entry 7:
## Ba2CdAs4Au3 (PBE-GGA)

Data for crystalline Ba2CdAs4Au3 at its relaxed geometry.

a = 4.7252 Å, b = 4.7252 Å, c = 10.9561 Å
α = 90.00°, β = 90.00°, γ = 90.00°
Closest atoms and distances in Å follow each position.
Space group P-4m2 (No. 115)
Symmetry-distinct sites (fractional):
Ba  0.0000  0.5000  0.2417 x2  8 As 3.55-3.58, 7 Au 3.60-3.95, 2 Cd 3.69
Cd  0.0000  0.0000  0.5000 x1  4 As 2.82
As  0.0000  0.0000  0.0000 x1  4 Au 2.70
As  0.0000  0.5000  0.6398 x2  3 Au 2.64-2.82, 2 Cd 2.82
As  0.5000  0.5000  0.0000 x1  4 Au 2.70
Au  0.0000  0.5000  0.8812 x2  5 As 2.64-2.70
Au  0.5000  0.5000  0.5000 x1  4 As 2.82

Computed properties:
* E_form: -0.57 eV/atom



Entry 8:
## BaCe2As4Au (PBE-GGA)

Data for crystalline BaCe2As4Au at its relaxed geometry.

a = 4.2744 Å, b = 14.5882 Å, c = 14.2491 Å
α = 90.00°, β = 90.00°, γ = 90.00°
Closest atoms and distances in Å follow each position.
Space group Cmcm (No. 63)
Symmetry-distinct sites (fractional):
Ba  0.0000  0.1170  0.2500 x4  6 As 3.29-3.44
Ce  0.0000  0.3701  0.0587 x8  6 As 2.86-2.98
As  0.0000  0.0000  0.0000 x4  4 Ce 2.98
As  0.0000  0.2611  0.6080 x8  1 Au 2.58, 1 Ce 2.86
As  0.0000  0.4451  0.2500 x4  2 Au 2.56
Au  0.0000  0.1520  0.7500 x4  4 As 2.56-2.58

Computed properties:
* E_form: -0.99 eV/atom



Entry 9:
## Ba4AsAuCl2 (PBE-GGA)

Data for crystalline Ba4AsAuCl2 at its relaxed geometry.

a = 8.1854 Å, b = 4.7165 Å, c = 8.2024 Å
α = 90.00°, β = 108.07°, γ = 90.00°
Closest atoms and distances in Å follow each position.
Space group P2/m (No. 10)
Symmetry-distinct sites (fractional):
Ba  0.2395  0.0000  0.2306 x2  1 Au 3.26, 2 As 3.27, 3 Cl 3.38-3.47
Ba  0.2529  0.5000  0.7611 x2  1 As 3.26, 2 Au 3.32, 3 Cl 3.37-3.42
As  0.0000  0.5000  0.0000 x1  6 Ba 3.26-3.27
Au  0.5000  0.0000  0.0000 x1  6 Ba 3.26-3.32
Cl  0.0000  0.0000  0.5000 x1  6 Ba 3.38-3.42
Cl  0.5000  0.5000  0.5000 x1  6 Ba 3.37-3.47

Computed properties:
* uncorrected formation energy: -139 kJ per mole of atoms



Entry 10:
## Ba2AsAuCl (PBE-GGA)

Data for crystalline Ba2AsAuCl at its relaxed geometry.

a = 6.0009 Å, b = 6.0009 Å, c = 4.9555 Å
α = 90.00°, β = 90.00°, γ = 90.00°
Closest atoms and distances in Å follow each position.
Space group P4/mmm (No. 123)
Symmetry-distinct sites (fractional):
Ba  0.0000  0.5000  0.0000 x2  2 Cl 3.00
As  0.0000  0.0000  0.5000 x1  2 Cl 2.48
Au  0.5000  0.5000  0.5000 x1  8 Ba 3.89, 4 As 4.24
Cl  0.0000  0.0000  0.0000 x1  2 As 2.48

Computed properties:
* uncorrected formation energy: -62 kJ per mole of atoms



Entry 11:
## BaCrAsAu2 (PBE-GGA)

Data for crystalline BaCrAsAu2 at its relaxed geometry.

a = 5.0067 Å, b = 5.0067 Å, c = 6.1822 Å
α = 90.00°, β = 90.00°, γ = 90.00°
Closest atoms and distances in Å follow each position.
Space group P4/mmm (No. 123)
Symmetry-distinct sites (fractional):
Ba  0.0000  0.0000  0.0000 x1  2 As 3.09
Cr  0.5000  0.5000  0.0000 x1  4 Ba 3.54
As  0.0000  0.0000  0.5000 x1  4 Au 2.50
Au  0.0000  0.5000  0.5000 x2  2 As 2.50

Computed properties:
* E_form: 0.40 eV/atom



Entry 12:
## Ba2CuAs4Au3 (PBE-GGA)

Data for crystalline Ba2CuAs4Au3 at its relaxed geometry.

a = 4.6829 Å, b = 4.6829 Å, c = 10.5970 Å
α = 90.00°, β = 90.00°, γ = 90.00°
Closest atoms and distances in Å follow each position.
Space group P-4m2 (No. 115)
Symmetry-distinct sites (fractional):
Ba  0.0000  0.5000  0.2469 x2  2 Cu 3.51, 6 Au 3.51-3.57, 9 As 3.56-3.93
Cu  0.5000  0.5000  0.0000 x1  4 As 2.68
As  0.0000  0.0000  0.5000 x1  4 Au 2.70
As  0.0000  0.5000  0.8764 x2  3 Au 2.65-2.68, 2 Cu 2.68
As  0.5000  0.5000  0.5000 x1  4 Au 2.70
Au  0.0000  0.0000  0.0000 x1  4 As 2.68
Au  0.0000  0.5000  0.6260 x2  5 As 2.65-2.70

Computed properties:
* E_form: -0.54 eV/atom



Entry 13:
## Ba2Cu3As4Au (PBE-GGA)

Data for crystalline Ba2Cu3As4Au at its relaxed geometry.

a = 4.5451 Å, b = 4.5451 Å, c = 10.3088 Å
α = 90.00°, β = 90.00°, γ = 90.00°
Closest atoms and distances in Å follow each position.
Space group P-4m2 (No. 115)
Symmetry-distinct sites (fractional):
Ba  0.0000  0.5000  0.2478 x2  8 As 3.42-3.43, 7 Cu 3.45-3.72, 2 Au 3.45
Cu  0.0000  0.5000  0.8870 x2  5 As 2.55-2.58
Cu  0.5000  0.5000  0.5000 x1  4 As 2.67
As  0.0000  0.0000  0.0000 x1  4 Cu 2.55
As  0.0000  0.5000  0.6363 x2  3 Cu 2.58-2.67, 2 Au 2.67
As  0.5000  0.5000  0.0000 x1  4 Cu 2.55
Au  0.0000  0.0000  0.5000 x1  4 As 2.67

Computed properties:
* E_form: -0.52 eV/atom



Entry 14:
## Ba2Ge3AsAu4 (PBE-GGA)

Data for crystalline Ba2Ge3AsAu4 at its relaxed geometry.

a = 4.7376 Å, b = 4.7376 Å, c = 10.5309 Å
α = 90.00°, β = 90.00°, γ = 90.00°
Closest atoms and distances in Å follow each position.
Space group P-4m2 (No. 115)
Symmetry-distinct sites (fractional):
Ba  0.0000  0.5000  0.2500 x2  7 Ge 3.54-3.94, 2 As 3.54, 9 Au 3.54-3.94
Ge  0.0000  0.0000  0.0000 x1  4 Au 2.70
Ge  0.0000  0.5000  0.6245 x2  5 Au 2.65-2.71
As  0.5000  0.5000  0.0000 x1  4 Au 2.70
Au  0.0000  0.0000  0.5000 x1  4 Ge 2.71
Au  0.0000  0.5000  0.8761 x2  3 Ge 2.65-2.70, 2 As 2.70
Au  0.5000  0.5000  0.5000 x1  4 Ge 2.71

Computed properties:
* E_form: -0.52 eV/atom



Entry 15:
## Ba2As2H2Au (PBE-GGA)

Data for crystalline Ba2As2H2Au at its relaxed geometry.

a = 4.4878 Å, b = 4.4878 Å, c = 15.6093 Å
α = 90.00°, β = 90.00°, γ = 90.00°
Closest atoms and distances in Å follow each position.
Space group I4/mmm (No. 139)
Symmetry-distinct sites (fractional):
Ba  0.0000  0.0000  0.1304 x4  4 H 3.03, 5 As 3.19-3.22
As  0.0000  0.0000  0.3349 x4  1 Au 2.58
H  0.0000  0.5000  0.0000 x4  2 Au 2.24
Au  0.0000  0.0000  0.5000 x2  4 H 2.24



Entry 16:
## BaAsHAu (PBE-GGA)

Data for crystalline BaAsHAu at its relaxed geometry.

a = 4.5844 Å, b = 4.5844 Å, c = 4.7680 Å
α = 90.00°, β = 90.00°, γ = 120.00°
Closest atoms and distances in Å follow each position.
Space group P3m1 (No. 156)
Symmetry-distinct sites (fractional):
Ba  0.0000  0.0000  0.0000 x1  3 H 2.70
As  0.3333  0.6667  0.4611 x1  3 Au 2.66
H  0.6667  0.3333  0.8935 x1  1 Au 1.77
Au  0.6667  0.3333  0.5231 x1  1 H 1.77



Entry 17:
## BaHfAsAu2 (PBE-GGA)

Data for crystalline BaHfAsAu2 at its relaxed geometry.

a = 5.1382 Å, b = 5.1382 Å, c = 6.5480 Å
α = 90.00°, β = 90.00°, γ = 90.00°
Closest atoms and distances in Å follow each position.
Space group P4/mmm (No. 123)
Symmetry-distinct sites (fractional):
Ba  0.0000  0.0000  0.0000 x1  2 Hf 3.27, 4 As 3.63
Hf  0.0000  0.0000  0.5000 x1  4 Au 2.57
As  0.5000  0.5000  0.0000 x1  4 Ba 3.63
Au  0.0000  0.5000  0.5000 x2  2 Hf 2.57

Computed properties:
* E_form: 0.58 eV/atom



Entry 18:
## Ba2HgAs4Au3 (PBE-GGA)

Data for crystalline Ba2HgAs4Au3 at its relaxed geometry.

a = 4.8068 Å, b = 4.8068 Å, c = 10.6648 Å
α = 90.00°, β = 90.00°, γ = 90.00°
Closest atoms and distances in Å follow each position.
Space group P-4m2 (No. 115)
Symmetry-distinct sites (fractional):
Ba  0.0000  0.5000  0.2457 x2  8 As 3.56-3.62, 2 Hg 3.62, 7 Au 3.62-3.85
Hg  0.0000  0.0000  0.5000 x1  4 As 2.82
As  0.0000  0.0000  0.0000 x1  4 Au 2.70
As  0.0000  0.5000  0.6377 x2  3 Au 2.63-2.82, 2 Hg 2.82
As  0.5000  0.5000  0.0000 x1  4 Au 2.70
Au  0.0000  0.5000  0.8843 x2  5 As 2.63-2.70
Au  0.5000  0.5000  0.5000 x1  4 As 2.82

Computed properties:
* E_form: -0.52 eV/atom



Entry 19:
## Ba6As2AuI3 (PBE-GGA)

Data for crystalline Ba6As2AuI3 at its relaxed geometry.

a = 8.4121 Å, b = 14.5533 Å, c = 8.8954 Å
α = 90.00°, β = 108.50°, γ = 90.00°
Closest atoms and distances in Å follow each position.
Space group C2/m (No. 12)
Symmetry-distinct sites (fractional):
Ba  0.2281  0.0000  0.2084 x4  2 As 3.28, 1 Au 3.37
Ba  0.2391  0.3298  0.2072 x8  2 As 3.28, 1 Au 3.35
As  0.0000  0.1665  0.0000 x4  6 Ba 3.28
Au  0.0000  0.5000  0.0000 x2  6 Ba 3.35-3.37
I  0.0000  0.0000  0.5000 x2  6 Ba 3.68-3.76
I  0.0000  0.3318  0.5000 x4  6 Ba 3.68-3.77

Computed properties:
* uncorrected formation energy: -125 kJ per mole of atoms



Entry 20:
## BaInAsAu2 (PBE-GGA)

Data for crystalline BaInAsAu2 at its relaxed geometry.

a = 5.1336 Å, b = 5.1336 Å, c = 6.7229 Å
α = 90.00°, β = 90.00°, γ = 90.00°
Closest atoms and distances in Å follow each position.
Space group P4/mmm (No. 123)
Symmetry-distinct sites (fractional):
Ba  0.0000  0.0000  0.0000 x1  2 In 3.36, 4 As 3.63
In  0.0000  0.0000  0.5000 x1  4 Au 2.57
As  0.5000  0.5000  0.0000 x1  4 Ba 3.63
Au  0.0000  0.5000  0.5000 x2  2 In 2.57

Computed properties:
* E_form: 0.24 eV/atom



Entry 21:
## KBa2AsAu (PBE-GGA)

Data for crystalline KBa2AsAu at its relaxed geometry.

a = 6.3181 Å, b = 6.3181 Å, c = 6.1602 Å
α = 90.00°, β = 90.00°, γ = 90.00°
Closest atoms and distances in Å follow each position.
Space group P4/mmm (No. 123)
Symmetry-distinct sites (fractional):
K  0.0000  0.0000  0.0000 x1  2 As 3.08
Ba  0.0000  0.5000  0.5000 x2  2 As 3.16
As  0.0000  0.0000  0.5000 x1  2 K 3.08, 4 Ba 3.16
Au  0.5000  0.5000  0.0000 x1  8 Ba 4.41, 4 K 4.47

Computed properties:
* E_form: -0.41 eV/atom



Entry 22:
## BaLiAs2Au2 (PBE-GGA)

Data for crystalline BaLiAs2Au2 at its relaxed geometry.

a = 4.4935 Å, b = 4.4935 Å, c = 7.7367 Å
α = 90.00°, β = 90.00°, γ = 120.00°
Closest atoms and distances in Å follow each position.
Space group P-3m1 (No. 164)
Symmetry-distinct sites (fractional):
Ba  0.0000  0.0000  0.0000 x1  6 As 3.40, 6 Au 3.66
Li  0.0000  0.0000  0.5000 x1  6 Au 2.90, 6 As 3.09
As  0.3333  0.6667  0.7159 x2  3 Au 2.62
Au  0.3333  0.6667  0.3331 x2  3 As 2.62, 3 Li 2.90

Computed properties:
* E_form: -0.64 eV/atom



Entry 23:
## Ba2LiAs4Au3 (PBE-GGA)

Data for crystalline Ba2LiAs4Au3 at its relaxed geometry.

a = 4.6876 Å, b = 4.6876 Å, c = 10.7194 Å
α = 90.00°, β = 90.00°, γ = 90.00°
Closest atoms and distances in Å follow each position.
Space group P-4m2 (No. 115)
Symmetry-distinct sites (fractional):
Ba  0.0000  0.5000  0.2486 x2  8 As 3.55-3.57, 2 Li 3.55, 6 Au 3.55-3.59
Li  0.5000  0.5000  0.0000 x1  4 As 2.73
As  0.0000  0.0000  0.5000 x1  4 Au 2.69
As  0.0000  0.5000  0.8696 x2  3 Au 2.64-2.73, 2 Li 2.73
As  0.5000  0.5000  0.5000 x1  4 Au 2.69
Au  0.0000  0.0000  0.0000 x1  4 As 2.73
Au  0.0000  0.5000  0.6229 x2  5 As 2.64-2.69

Computed properties:
* E_form: -0.66 eV/atom



Entry 24:
## Ba6AsAu2N (PBE-GGA)

Data for crystalline Ba6AsAu2N at its relaxed geometry.

a = 7.8468 Å, b = 8.5917 Å, c = 13.3318 Å
α = 90.00°, β = 122.52°, γ = 90.00°
Closest atoms and distances in Å follow each position.
Space group P2_1/c (No. 14)
Symmetry-distinct sites (fractional):
Ba  0.1026  0.0417  0.2314 x4  1 N 2.76
Ba  0.2295  0.7060  0.0665 x4  1 N 2.95, 1 As 3.23
Ba  0.3487  0.1721  0.0538 x4  1 N 2.84
As  0.5000  0.0000  0.5000 x2  6 Ba 3.23-3.28
Au  0.2991  0.0946  0.7581 x4  7 Ba 3.42-3.81
N  0.0000  0.0000  0.0000 x2  6 Ba 2.76-2.95

Computed properties:
* uncorrected formation energy: -57 kJ per mole of atoms



Computed DFT total energy, in the same sequence as the records: -3.721 -3.242 -2.648 -3.545 -3.713 -3.865 -3.886 -5.451 -3.857 -3.364 -4.151 -4.172 -4.318 -4.061 -3.689 -3.856 -4.032 -3.780 -3.691 -2.935 -2.983 -3.924 -4.079 -3.700 eV/atom.
Computed size of the total moment, in the same sequence as the records: 0.122 0.252 0.402 0.000 0.035 0.000 0.000 0.000 0.130 0.000 1.023 0.000 0.000 0.000 0.000 0.000 0.000 0.000 0.170 0.041 0.000 0.000 0.000 0.000 μB per atom.
Computed V, in the same sequence as the records: 319.7 157.1 285.2 644.5 468.5 114.2 244.6 222.1 301.0 178.5 155.0 232.4 213.0 236.4 157.2 86.8 172.9 246.4 516.4 177.2 245.9 135.3 235.5 378.9 Å³/f.u..